[1]
{"formula": "SrNbAgP2", "functional": "GGA-PBEsol", "state": "optimized geometry", "ef_ev_per_atom": 0.438, "cell": [[4.750, 0.000, 0.000], [0.000, 4.750, 0.000], [0.000, 0.000, 5.830]], "species": ["Nb", "Sr", "P", "P", "Ag"], "frac_coords": [[0.000, 0.000, 0.000], [0.000, 0.000, 0.500], [0.500, 0.000, 0.000], [0.000, 0.500, 0.000], [0.500, 0.500, 0.500]]}

---

[2]
{"formula": "FeTeRu", "functional": "GGA-PBEsol", "state": "optimized geometry", "raw_formation_energy_ev_per_atom": 0.328, "cell": [[4.102, 0.000, 0.000], [2.051, 3.553, 0.000], [2.051, 1.184, 3.350]], "species": ["Fe", "Te", "Ru"], "frac_coords": [[0.250, 0.250, 0.250], [0.500, 0.500, 0.500], [0.000, 0.000, 0.000]]}

---

[3]
{"formula": "Sr3CaO4", "functional": "GGA-PBEsol", "state": "optimized geometry", "raw_formation_energy_ev_per_atom": -2.800, "cell": [[-4.114, 1.987, 2.168], [-2.626, -4.160, -1.170], [1.324, -2.077, 4.416]], "species": ["O", "O", "O", "O", "Sr", "Sr", "Sr", "Ca"], "frac_coords": [[0.500, 0.000, 0.500], [0.000, 0.500, 0.500], [0.000, 0.000, 0.000], [0.500, 0.500, 0.000], [0.000, 0.000, 0.500], [0.000, 0.500, 0.000], [0.500, 0.000, 0.000], [0.500, 0.500, 0.500]]}

---

[4]
{"formula": "Na2NbRe", "functional": "GGA-PBEsol", "state": "optimized geometry", "ef_ev_per_atom": 1.873, "cell": [[4.686, 0.000, 0.000], [2.343, 4.059, 0.000], [2.343, 1.353, 3.826]], "species": ["Na", "Na", "Re", "Nb"], "frac_coords": [[0.750, 0.750, 0.750], [0.250, 0.250, 0.250], [0.500, 0.500, 0.500], [0.000, 0.000, 0.000]]}

---

[5]
{"formula": "AlPPt", "functional": "GGA-PBEsol", "state": "optimized geometry", "ef_ev_per_atom": -0.243, "cell": [[-2.473, 1.048, -0.853], [0.356, -1.211, -2.519], [-1.489, -4.449, 3.503]], "species": ["P", "Pt", "Al"], "frac_coords": [[0.337, 0.337, 0.674], [0.658, 0.658, 0.316], [0.005, 0.005, 0.011]]}

---

[6]
{"formula": "TaMo", "functional": "GGA-PBEsol", "state": "optimized geometry", "ef_ev_per_atom": -0.107, "cell": [[2.809, 0.000, -0.001], [0.000, 4.499, 0.000], [-1.007, 0.000, 5.164]], "species": ["Mo", "Mo", "Ta", "Ta"], "frac_coords": [[0.620, 0.750, 0.877], [0.380, 0.250, 0.123], [0.865, 0.250, 0.629], [0.135, 0.750, 0.371]]}

---

[7]
{"formula": "Cd5Mo2P8O28", "functional": "GGA-PBEsol", "state": "optimized geometry", "raw_formation_energy_ev_per_atom": -1.914, "cell": [[6.680, -0.012, 0.003], [-0.789, 6.634, 0.003], [-2.235, -2.512, 24.273]], "species": ["O", "O", "O", "O", "O", "O", "O", "O", "O", "O", "O", "O", "O", "O", "O", "O", "O", "O", "O", "O", "O", "O", "O", "O", "O", "O", "O", "O", "O", "O", "O", "O", "O", "O", "O", "O", "O", "O", "O", "O", "O", "O", "O", "O", "O", "O", "O", "O", "O", "O", "O", "O", "O", "O", "O", "O", "P", "P", "P", "P", "P", "P", "P", "P", "P", "P", "P", "P", "P", "P", "P", "P", "Cd", "Cd", "Cd", "Cd", "Cd", "Cd", "Cd", "Cd", "Cd", "Cd", "Mo", "Mo", "Mo", "Mo"], "frac_coords": [[0.589, 0.601, 0.188], [0.406, 0.016, 0.107], [0.294, 0.289, 0.402], [0.029, 0.740, 0.529], [0.971, 0.260, 0.471], [0.117, 0.260, 0.741], [0.334, 0.019, 0.541], [0.465, 0.180, 0.728], [0.260, 0.971, 0.971], [0.186, 0.896, 0.448], [0.260, 0.117, 0.241], [0.957, 0.931, 0.875], [0.646, 0.241, 0.371], [0.411, 0.399, 0.812], [0.711, 0.706, 0.098], [0.601, 0.589, 0.688], [0.354, 0.759, 0.629], [0.019, 0.334, 0.041], [0.883, 0.740, 0.259], [0.666, 0.981, 0.459], [0.740, 0.029, 0.029], [0.535, 0.820, 0.272], [0.717, 0.977, 0.197], [0.653, 0.366, 0.004], [0.896, 0.186, 0.948], [0.016, 0.406, 0.607], [0.566, 0.592, 0.401], [0.740, 0.883, 0.759], [0.931, 0.957, 0.375], [0.289, 0.294, 0.902], [0.069, 0.043, 0.625], [0.814, 0.104, 0.552], [0.592, 0.566, 0.901], [0.823, 0.250, 0.849], [0.759, 0.354, 0.129], [0.408, 0.434, 0.099], [0.984, 0.594, 0.393], [0.043, 0.069, 0.125], [0.250, 0.823, 0.349], [0.177, 0.750, 0.151], [0.634, 0.347, 0.496], [0.981, 0.666, 0.959], [0.706, 0.711, 0.598], [0.241, 0.646, 0.871], [0.023, 0.283, 0.303], [0.977, 0.717, 0.697], [0.283, 0.023, 0.803], [0.750, 0.177, 0.651], [0.399, 0.411, 0.312], [0.347, 0.634, 0.996], [0.434, 0.408, 0.599], [0.104, 0.814, 0.052], [0.180, 0.465, 0.228], [0.820, 0.535, 0.772], [0.366, 0.653, 0.504], [0.594, 0.984, 0.893], [0.233, 0.823, 0.508], [0.806, 0.084, 0.887], [0.194, 0.916, 0.113], [0.823, 0.233, 0.008], [0.382, 0.478, 0.874], [0.916, 0.194, 0.613], [0.796, 0.693, 0.731], [0.618, 0.522, 0.126], [0.522, 0.618, 0.626], [0.767, 0.177, 0.492], [0.307, 0.204, 0.769], [0.693, 0.796, 0.231], [0.084, 0.806, 0.387], [0.177, 0.767, 0.992], [0.204, 0.307, 0.269], [0.478, 0.382, 0.374], [0.200, 0.800, 0.250], [0.587, 0.885, 0.362], [0.800, 0.200, 0.750], [0.683, 0.702, 0.992], [0.115, 0.413, 0.138], [0.298, 0.317, 0.508], [0.317, 0.298, 0.008], [0.702, 0.683, 0.492], [0.885, 0.587, 0.862], [0.413, 0.115, 0.638], [0.023, 0.720, 0.617], [0.720, 0.023, 0.117], [0.977, 0.280, 0.383], [0.280, 0.977, 0.883]]}

---

[8]
{"formula": "SrZnP2S", "functional": "GGA-PBEsol", "state": "optimized geometry", "raw_formation_energy_ev_per_atom": -0.132, "cell": [[4.611, 0.000, 0.000], [0.000, 4.611, 0.000], [0.000, 0.000, 4.946]], "species": ["P", "P", "S", "Zn", "Sr"], "frac_coords": [[0.500, 0.000, 0.000], [0.000, 0.500, 0.000], [0.000, 0.000, 0.500], [0.000, 0.000, 0.000], [0.500, 0.500, 0.500]]}